(1)
# InAg2Hg

InAg2Hg after structural relaxation (PBEsol, Alexandria).

Results
- DOS at the Fermi energy (states/eV/f.u.) = 1.2
- M_tot (μB per atom) = 0.00
- energy of formation (eV per atom) = 0.0019
- ΔE to the lowest computed polymorph (meV per atom) = 12

POSCAR file:
```
InAg2Hg
1.0
-0.4731 2.9660 -1.0502
-1.4714 -1.7810 -4.3672
-4.0520 -1.2565 3.0965
Hg Ag In
1 2 1
direct
0.5066 0.5185 0.0132 Hg
0.9930 0.0026 0.9860 Ag
0.2572 0.7476 0.5144 Ag
0.7432 0.2313 0.4864 In
```

(2)
# InAgHg

InAgHg after structural relaxation (PBEsol, Alexandria).

Results
- DOS at the Fermi energy (states/eV/f.u.) = 0.9
- M_tot (μB per atom) = 0.00
- energy of formation (eV per atom) = 0.0199
- ΔE to the lowest computed polymorph (meV per atom) = 20

POSCAR file:
```
InAgHg
1.0
-0.0335 2.3565 2.2042
-1.8558 -2.6094 0.3995
5.1433 -3.1330 3.4277
Hg Ag In
1 1 1
direct
0.3333 0.6667 0.6800 Hg
0.0000 0.0000 0.9999 Ag
0.6667 0.3333 0.3201 In
```

(3)
# InAg2Hg

InAg2Hg after structural relaxation (PBEsol, Alexandria).

Results
- DOS at the Fermi energy (states/eV/f.u.) = 1.1
- M_tot (μB per atom) = 0.00
- energy of formation (eV per atom) = 0.0100
- ΔE to the lowest computed polymorph (meV per atom) = 20

POSCAR file:
```
InAg2Hg
1.0
3.1052 0.0000 0.0000
0.0000 5.0398 0.1569
0.0000 -1.4710 4.8229
Hg Ag In
1 2 1
direct
0.5000 0.0000 0.0000 Hg
0.0000 0.5000 0.0000 Ag
0.0000 0.0000 0.5000 Ag
0.5000 0.5000 0.5000 In
```

(4)
# InAgHg3

InAgHg3 after structural relaxation (PBEsol, Alexandria).

Results
- DOS at the Fermi energy (states/eV/f.u.) = 2.2
- M_tot (μB per atom) = 0.00
- energy of formation (eV per atom) = 0.5230

POSCAR file:
```
InAgHg3
1.0
-0.4728 4.3071 -3.2302
-3.5550 2.1855 3.4344
4.0432 2.4252 2.6419
Hg Ag In
3 1 1
direct
0.0000 0.5000 0.0000 Hg
0.0000 0.0000 0.5000 Hg
0.5000 0.0000 0.0000 Hg
0.5000 0.5000 0.5000 Ag
0.0000 0.0000 0.0000 In
```

(5)
# InAgHg2

InAgHg2 after structural relaxation (PBEsol, Alexandria).

Results
- DOS at the Fermi energy (states/eV/f.u.) = 1.2
- M_tot (μB per atom) = 0.00
- energy of formation (eV per atom) = 0.0209

POSCAR file:
```
InAgHg2
1.0
3.1142 0.0000 0.0000
0.0000 4.1816 0.0000
0.0000 0.0000 6.4993
Hg Ag In
2 1 1
direct
0.0000 0.0000 0.7308 Hg
0.0000 0.0000 0.2692 Hg
0.5000 0.5000 0.5000 Ag
0.5000 0.5000 0.0000 In
```

(6)
# InAg2Hg

InAg2Hg after structural relaxation (PBEsol, Alexandria).

Results
- DOS at the Fermi energy (states/eV/f.u.) = 1.2
- M_tot (μB per atom) = 0.00
- energy of formation (eV per atom) = 0.0002
- ΔE to the lowest computed polymorph (meV per atom) = 10

POSCAR file:
```
InAg2Hg
1.0
-1.6497 -2.6514 2.9303
-2.2792 -1.9557 -3.0527
5.0906 -0.3455 -0.5758
Hg Ag In
1 2 1
direct
0.5000 0.5000 0.0000 Hg
0.7500 0.2500 0.5000 Ag
0.2500 0.7500 0.5000 Ag
0.0000 0.0000 0.0000 In
```